Below is a geometry-optimized CaAu2Br structure, with properties calculated at the PBE-GGA level.

Properties
- SG = No. 99
- formation energy without anion corrections (meV/atom) = -774
- calculated volume (A^3/atom) = 27.040
- size of the total moment (μB per atom) = 0.000
- crystal system = tetragonal

a = 3.831 Å, b = 3.834 Å, c = 7.363 Å
α = 90.00°, β = 90.00°, γ = 90.00°
Element x y z (fractional)
Ca (0.500, 0.500, 0.749)
Au (0.000, 0.000, 0.062)
Au (0.500, 0.500, 0.119)
Br (0.000, 0.000, 0.570)